# BeV3O (PBE+U, optimized geometry)
# total magnetic moment	7.02	μB per cell
# E above lowest polymorph	0	meV per atom
# DOS at the Fermi energy	3.4	states/eV/f.u.
# total DFT energy (no corrections)	-5.93	eV/atom
data_BeV3O
_cell_length_a 4.112
_cell_length_b 4.112
_cell_length_c 4.112
_cell_angle_alpha 90.00
_cell_angle_beta 90.00
_cell_angle_gamma 90.00
_space_group_name_H-M_alt 'P m -3 m'
_space_group_IT_number 221
_space_group_name_Hall '-P 4 2 3'
loop_
_atom_site_label
_atom_site_fract_x
_atom_site_fract_y
_atom_site_fract_z
Be1 0.000 0.000 0.000
V1 0.000 0.500 0.500
O1 0.500 0.500 0.500